1.
A relaxed structure of YSbCl2, computed with PBE.

Calculated values
ΔE_f (raw): -1125 meV per atom

a b c (Å): 4.645 4.644 5.289
angles (deg): 90.00 90.00 90.00
Atoms (fractional coordinates):
1 Y 0.500 0.500 0.657
2 Sb 0.000 0.000 0.582
3 Cl 0.000 0.000 0.099
4 Cl 0.500 0.500 0.162

***

2.
A relaxed structure of YSbCl, computed with PBE.

Calculated values
ΔE_f (raw): -548 meV per atom

a b c (Å): 4.879 4.879 4.879
angles (deg): 60.00 60.00 60.00
Atoms (fractional coordinates):
1 Cl 0.250 0.250 0.250
2 Sb 0.000 0.000 0.000
3 Y 0.500 0.500 0.500

***

3.
A relaxed structure of Y2SbCl2, computed with PBE.

Calculated values
ΔE_f (raw): -1648 meV per atom

a b c (Å): 4.172 4.172 10.460
angles (deg): 78.50 78.50 60.00
Atoms (fractional coordinates):
1 Y 0.608 0.608 0.175
2 Y 0.392 0.392 0.825
3 Sb 0.000 0.000 0.000
4 Cl 0.225 0.225 0.326
5 Cl 0.775 0.775 0.674

***

4.
A relaxed structure of Y4SbCl, computed with PBE.

Calculated values
ΔE_f (raw): 32 meV per atom

a b c (Å): 6.373 6.373 6.373
angles (deg): 60.00 60.00 60.00
Atoms (fractional coordinates):
1 Y 0.879 0.374 0.374
2 Y 0.374 0.374 0.879
3 Y 0.374 0.879 0.374
4 Y 0.374 0.374 0.374
5 Sb 0.000 0.000 0.000
6 Cl 0.750 0.750 0.750